This record from Alexandria via LeMat-Bulk describes a geometry-optimized NiPbC2O6 structure. The functional is PBE with a Hubbard U.

Properties
electronic total energy	-6.796	eV per atom
mass density	5.4	Mg/m³

a b c (Å): 4.9493 4.9493 16.8928
angles (deg): 90.00 90.00 120.00
Space group R-3 (No. 148, hexagonal axes)
Symmetry-distinct sites (fractional):
Ni 0.0000 0.0000 0.0000
Pb 0.0000 0.0000 0.5000
C 0.0000 0.0000 0.2631
O 0.0488 0.6146 0.4056